Version i
Entry from Alexandria via LeMat-Bulk: a crystal of TlAs2Pb relaxed with PBEsol (SCAN). Values from VASP.

```
&SYSTEM
  ibrav = 0, nat = 4, ntyp = 3
/
ATOMIC_SPECIES
As 74.92 As.upf
Tl 204.38 Tl.upf
Pb 207.20 Pb.upf
ATOMIC_POSITIONS crystal
As 0.016 0.016 0.954
As 0.735 0.735 0.796
Tl 0.258 0.258 0.226
Pb 0.492 0.492 0.524
CELL_PARAMETERS angstrom
-0.939 3.463 -0.168
-2.397 1.094 -2.441
-7.829 -0.015 5.040
```

Properties
- V (Å³/cell) = 101.4
- N(E_F) (states/eV per cell) = 1.67
- space group = R3m, No. 160

***

Version ii
Entry from Alexandria via LeMat-Bulk: a crystal of TlAs2Pb relaxed with PBEsol (SCAN). Values from VASP.

```
&SYSTEM
  ibrav = 0, nat = 4, ntyp = 3
/
ATOMIC_SPECIES
As 74.92 As.upf
Tl 204.38 Tl.upf
Pb 207.20 Pb.upf
ATOMIC_POSITIONS crystal
As 0.750 0.501 0.843
Tl 0.000 0.000 0.500
As 0.250 0.499 0.157
Pb 0.500 0.000 0.000
CELL_PARAMETERS angstrom
-3.045 0.981 -1.582
3.586 -2.057 -4.151
-2.637 -4.443 2.320
```

Properties
- V (Å³/cell) = 107.1
- N(E_F) (states/eV per cell) = 1.53
- space group = C2/m, No. 12

***

Stability, highest: version i